(1)
{
  "formula": "PrDyMgIr",
  "functional": "GGA-PBE",
  "state": "relaxed",
  "cell": [[0.000, 3.628, 3.628], [3.628, 0.000, 3.628], [3.628, 3.628, 0.000]],
  "species": ["Pr", "Dy", "Mg", "Ir"],
  "frac_coords": [[0.000, 0.000, 0.000], [0.500, 0.500, 0.500], [0.250, 0.250, 0.250], [0.750, 0.750, 0.750]],
  "e_form_kj_per_mol_atoms": -33.8,
  "magnetic_moment_mub_per_atom": 0.000,
  "final_energy_ev_per_atom": -5.310,
  "dos_at_fermi_per_ev_atom": 0.7128
}

=====

(2)
{
  "formula": "BaLaCuAu",
  "functional": "GGA-PBE",
  "state": "relaxed",
  "cell": [[0.000, 3.855, 3.855], [3.855, 0.000, 3.855], [3.855, 3.855, 0.000]],
  "species": ["Ba", "La", "Cu", "Au"],
  "frac_coords": [[0.000, 0.000, 0.000], [0.500, 0.500, 0.500], [0.750, 0.750, 0.750], [0.250, 0.250, 0.250]],
  "e_form_kj_per_mol_atoms": -28.2,
  "magnetic_moment_mub_per_atom": 0.000,
  "final_energy_ev_per_atom": -3.848,
  "dos_at_fermi_per_ev_atom": 1.0109
}

=====

(3)
{
  "formula": "NaBrOF2",
  "functional": "GGA-PBE",
  "state": "relaxed",
  "cell": [[4.320, 0.000, 0.000], [0.000, 4.320, 0.000], [0.000, 0.000, 4.569]],
  "species": ["Na", "Br", "O", "F", "F"],
  "frac_coords": [[0.000, 0.000, 0.000], [0.500, 0.500, 0.500], [0.000, 0.000, 0.500], [0.000, 0.500, 0.000], [0.500, 0.000, 0.000]],
  "raw_formation_energy_ev_per_fu": -1.55,
  "magnetic_moment_mub_per_atom": 0.800,
  "final_energy_ev_per_atom": -2.648,
  "dos_at_fermi_per_ev_atom": 1.3430
}